Entry 1:
Entry from the Alexandria database: an optimized crystal structure of CdPBr2 (GGA-PBE).

## Properties
SG   No. 166
Energy relative to the elements, uncorrected   0.242 eV/atom
Polymorph energy (0 for the lowest one)   462.7 meV per atom

a = 10.6266 Å, b = 10.6266 Å, c = 10.6266 Å
α = 20.42°, β = 20.42°, γ = 20.42°
Last column: nearest neighbours and their distance in Å.
Fractional positions:
Br 0.9718 0.9718 0.9718  3 Cd 2.77
P 0.7500 0.7500 0.7500  6 P 3.77, 6 Br 4.10
Cd 0.2500 0.2500 0.2500  6 Br 2.77
Br 0.5282 0.5282 0.5282  3 Cd 2.77

Entry 2:
Entry from the Alexandria database: an optimized crystal structure of Sr2GaBr5 (GGA-PBE).

## Properties
SG   No. 62
Energy relative to the elements, uncorrected   -1.660 eV/atom

a = 4.8209 Å, b = 11.2290 Å, c = 22.7719 Å
α = 90.00°, β = 90.00°, γ = 90.00°
Last column: nearest neighbours and their distance in Å.
Fractional positions:
Sr 0.2500 0.6317 0.5760  7 Br 3.08-3.34
Br 0.7500 0.0844 0.8252  4 Sr 3.25-3.34
Br 0.2500 0.3664 0.9946  3 Ga 2.93-3.02, 1 Sr 3.09
Br 0.2500 0.2775 0.6765  2 Sr 3.03, 1 Ga 3.16
Br 0.7500 0.7225 0.3235  2 Sr 3.03, 1 Ga 3.16
Br 0.2500 0.3798 0.5082  3 Sr 3.08-3.22, 1 Ga 3.35
Sr 0.7500 0.8683 0.0760  7 Br 3.08-3.34
Br 0.7500 0.2225 0.1765  2 Sr 3.03, 1 Ga 3.16
Br 0.7500 0.1202 0.0082  3 Sr 3.08-3.22, 1 Ga 3.35
Sr 0.2500 0.1317 0.9240  7 Br 3.08-3.34
Br 0.7500 0.1336 0.4946  3 Ga 2.93-3.02, 1 Sr 3.09
Ga 0.2500 0.1058 0.5664  4 Br 2.93-3.16
Br 0.2500 0.9156 0.1748  4 Sr 3.25-3.34
Sr 0.7500 0.3329 0.7521  6 Br 3.03-3.33
Br 0.7500 0.6300 0.1641  3 Sr 3.10-3.34, 1 Ga 3.46
Br 0.7500 0.6202 0.4918  3 Sr 3.08-3.22, 1 Ga 3.35
Br 0.7500 0.1300 0.3359  3 Sr 3.10-3.34, 1 Ga 3.46
Sr 0.2500 0.1671 0.2521  6 Br 3.03-3.33
Sr 0.2500 0.6671 0.2479  6 Br 3.03-3.33
Sr 0.7500 0.3683 0.4240  7 Br 3.08-3.34
Br 0.2500 0.8798 0.9918  3 Sr 3.08-3.22, 1 Ga 3.35
Br 0.2500 0.8700 0.6641  3 Sr 3.10-3.34, 1 Ga 3.46
Sr 0.7500 0.8329 0.7479  6 Br 3.03-3.33
Br 0.7500 0.5844 0.6748  4 Sr 3.25-3.34
Br 0.2500 0.8664 0.5054  3 Ga 2.93-3.02, 1 Sr 3.09
Br 0.2500 0.7775 0.8235  2 Sr 3.03, 1 Ga 3.16
Br 0.7500 0.6336 0.0054  3 Ga 2.93-3.02, 1 Sr 3.09
Br 0.2500 0.4156 0.3252  4 Sr 3.25-3.34
Ga 0.2500 0.6058 0.9336  4 Br 2.93-3.16
Br 0.2500 0.3700 0.8359  3 Sr 3.10-3.34, 1 Ga 3.46
Ga 0.7500 0.8942 0.4336  4 Br 2.93-3.16
Ga 0.7500 0.3942 0.0664  4 Br 2.93-3.16

Entry 3:
Entry from the Alexandria database: an optimized crystal structure of Sn3SbSe (GGA-PBE).

## Properties
SG   No. 221
Energy relative to the elements, uncorrected   0.675 eV/atom
Polymorph energy (0 for the lowest one)   681.6 meV per atom

a = 5.7532 Å, b = 5.7532 Å, c = 5.7532 Å
α = 90.00°, β = 90.00°, γ = 90.00°
Last column: nearest neighbours and their distance in Å.
Fractional positions:
Sb 0.0000 0.0000 0.0000  6 Sn 2.88
Se 0.5000 0.5000 0.5000  12 Sn 4.07
Sn 0.0000 0.0000 0.5000  2 Sb 2.88
Sn 0.0000 0.5000 0.0000  2 Sb 2.88
Sn 0.5000 0.0000 0.0000  2 Sb 2.88

Question: energy relative to the elements, uncorrected of number 3 (Sn3SbSe)?
Answer: 0.675 eV/atom